SiAs2Se | PBE-GGA | relaxed

Cell and atoms, written as CIF:
```
data_SiAs2Se
_space_group_name_H-M_alt 'I m m 2'
_space_group_IT_number 44
_cell_length_a 3.501
_cell_length_b 4.451
_cell_length_c 10.814
_cell_angle_alpha 90.00
_cell_angle_beta 90.00
_cell_angle_gamma 90.00
loop_
_space_group_symop_operation_xyz
'x,y,z'
'-x,-y,z'
'-x,y,z'
'x,-y,z'
'x+1/2,y+1/2,z+1/2'
'-x+1/2,-y+1/2,z+1/2'
'-x+1/2,y+1/2,z+1/2'
'x+1/2,-y+1/2,z+1/2'
loop_
_atom_site_label
_atom_site_type_symbol
_atom_site_fract_x
_atom_site_fract_y
_atom_site_fract_z
Si1 Si 0.000 0.000 0.000
As1 As 0.000 0.000 0.527
As2 As 0.000 0.500 0.672
Se1 Se 0.000 0.500 0.335
```

Results
* calculated volume: 168.5 Å³/cell
* E: -4.25 eV per atom